# 1
This record from Alexandria describes a crystal of MgAs2Br relaxed with PBEsol. The functional is meta-GGA SCAN.

Values from the calculation:
Energy relative to the elements, uncorrected: -0.5078 eV/atom
E above lowest polymorph: 0 meV per atom

CIF file:
```
data_MgAs2Br
_chemical_formula_sum 'Mg3 As6 Br3'
_cell_length_a 3.6833
_cell_length_b 3.6833
_cell_length_c 24.9281
_cell_angle_alpha 90.00
_cell_angle_beta 90.00
_cell_angle_gamma 120.00
_space_group_name_H-M_alt 'R 3 m'
_space_group_IT_number 160
_space_group_name_Hall 'R 3 -2"'
loop_
_atom_site_label
_atom_site_type_symbol
_atom_site_fract_x
_atom_site_fract_y
_atom_site_fract_z
Mg1 Mg 0.0000 0.0000 0.0000
As1 As 0.0000 0.0000 0.2555
As2 As 0.0000 0.0000 0.5326
Br1 Br 0.0000 0.0000 0.7286
```


# 2
This record from Alexandria describes a crystal of MgAsBr2 relaxed with PBEsol. The functional is meta-GGA SCAN.

Values from the calculation:
Energy relative to the elements, uncorrected: -0.6266 eV/atom
E above lowest polymorph: 0 meV per atom

CIF file:
```
data_MgAsBr2
_chemical_formula_sum 'Mg3 As3 Br6'
_cell_length_a 3.5447
_cell_length_b 3.5447
_cell_length_c 29.7510
_cell_angle_alpha 90.00
_cell_angle_beta 90.00
_cell_angle_gamma 120.00
_space_group_name_H-M_alt 'R -3 m'
_space_group_IT_number 166
_space_group_name_Hall '-R 3 2"'
loop_
_atom_site_label
_atom_site_type_symbol
_atom_site_fract_x
_atom_site_fract_y
_atom_site_fract_z
Mg1 Mg 0.0000 0.0000 0.0000
As1 As 0.0000 0.0000 0.5000
Br1 Br 0.0000 0.0000 0.2792
```


# 3
This record from Alexandria describes a crystal of MgMoAs2Br relaxed with PBEsol. The functional is meta-GGA SCAN.

Values from the calculation:
Energy relative to the elements, uncorrected: 0.2452 eV/atom

CIF file:
```
data_MgMoAs2Br
_chemical_formula_sum 'Mg1 Mo1 As2 Br1'
_cell_length_a 4.7678
_cell_length_b 4.7678
_cell_length_c 5.3882
_cell_angle_alpha 90.00
_cell_angle_beta 90.00
_cell_angle_gamma 90.00
_space_group_name_H-M_alt 'P 4/m m m'
_space_group_IT_number 123
_space_group_name_Hall '-P 4 2'
loop_
_atom_site_label
_atom_site_type_symbol
_atom_site_fract_x
_atom_site_fract_y
_atom_site_fract_z
Mg1 Mg 0.0000 0.0000 0.0000
Mo1 Mo 0.5000 0.5000 0.5000
As1 As 0.0000 0.5000 0.5000
Br1 Br 0.5000 0.5000 0.0000
```


# 4
This record from Alexandria describes a crystal of MgAs2BrN relaxed with PBEsol. The functional is meta-GGA SCAN.

Values from the calculation:
Energy relative to the elements, uncorrected: 0.4600 eV/atom

CIF file:
```
data_MgAs2BrN
_chemical_formula_sum 'Mg1 As2 Br1 N1'
_cell_length_a 4.5289
_cell_length_b 4.5289
_cell_length_c 4.2567
_cell_angle_alpha 90.00
_cell_angle_beta 90.00
_cell_angle_gamma 90.00
_space_group_name_H-M_alt 'P 4/m m m'
_space_group_IT_number 123
_space_group_name_Hall '-P 4 2'
loop_
_atom_site_label
_atom_site_type_symbol
_atom_site_fract_x
_atom_site_fract_y
_atom_site_fract_z
Mg1 Mg 0.0000 0.0000 0.0000
As1 As 0.0000 0.5000 0.5000
Br1 Br 0.5000 0.5000 0.0000
N1 N 0.0000 0.0000 0.5000
```